Ca2InCl | GGA-PBE | optimized geometry

Lattice parameters (Å, degrees): 4.0389 4.0389 8.5536 76.36 76.36 59.95
Closest atoms and distances in Å follow each position.
Atoms (fractional coordinates):
Ca: 0.0037 0.0037 0.9889  3 Cl 3.05, 3 In 3.17
Ca: 0.4963 0.4963 0.5111  3 Cl 3.05, 3 In 3.17
Cl: 0.7500 0.7500 0.7500  6 Ca 3.05
In: 0.2500 0.2500 0.2500  6 Ca 3.17

Calculated values
formation energy without anion corrections = -1.01 eV per atom
volume = 29.06 Å³ per atom
polymorph energy (0 for the lowest one) = 0.27 eV per formula unit
calculated density = 3.3 Mg/m³